(1)
Crystalline TeAs2C at its relaxed geometry. Source: Alexandria, functional PBE.

Lattice parameters (Å, degrees): 6.6747 6.6747 6.6747 90.00 90.00 90.00
Space group Fm-3m (No. 225)
Symmetry-distinct sites (fractional):
Te  0.0000  0.0000  0.0000 [4 per cell]
As  0.2500  0.2500  0.2500 [8 per cell]
C  0.0000  0.0000  0.5000 [4 per cell]

- excess energy over the best structure of this formula in the dataset (eV per formula unit) = 3.340
- total magnetization (μB per formula unit) = 0.00
- E_form (uncorrected) (eV per atom) = 1.68

(2)
Crystalline Th4Te2AsC at its relaxed geometry. Source: Alexandria, functional PBE.

Lattice parameters (Å, degrees): 7.2667 4.0877 7.7572 90.00 107.56 90.00
Space group P2/m (No. 10)
Symmetry-distinct sites (fractional):
Th  0.2068  0.0000  0.1935 [2 per cell]
Th  0.2322  0.5000  0.7985 [2 per cell]
Te  0.0000  0.0000  0.5000 [1 per cell]
Te  0.5000  0.5000  0.5000 [1 per cell]
As  0.5000  0.0000  0.0000 [1 per cell]
C  0.0000  0.5000  0.0000 [1 per cell]

- total magnetization (μB per formula unit) = 0.00
- E_form (uncorrected) (eV per atom) = -1.00

(3)
Crystalline Th8Te4AsC3 at its relaxed geometry. Source: Alexandria, functional PBE.

Lattice parameters (Å, degrees): 8.0841 8.0841 22.2273 90.00 90.00 120.00
Space group R-3m (No. 166, hexagonal axes)
Symmetry-distinct sites (fractional):
Th  0.0000  0.0000  0.2289 [6 per cell]
Th  0.0244  0.5122  0.7695 [18 per cell]
Te  0.0000  0.0000  0.0000 [3 per cell]
Te  0.0000  0.5000  0.0000 [9 per cell]
As  0.0000  0.0000  0.5000 [3 per cell]
C  0.0000  0.5000  0.5000 [9 per cell]

- total magnetization (μB per formula unit) = 0.00
- E_form (uncorrected) (eV per atom) = -0.89